Cr2ReIr: relaxed, PBE.

Calculated values
The total DFT energy (no corrections) comes out at -0.37259 Ha/atom. The calculation puts the total moment at 0.00 μB/cell.

Unit cell a=5.378 b=7.425 c=2.678 alpha=90.00 beta=90.00 gamma=90.00
Space group Cmmm (No. 65)
Asymmetric unit:
Cr 0.250 0.250 0.000 (multiplicity 4)
Re 0.000 0.000 0.500 (multiplicity 2)
Ir 0.000 0.500 0.500 (multiplicity 2)